Crystalline K3Pr3CrO8 at its relaxed geometry, computed with PBE+U.

extended XYZ file:
```
15
Lattice="6.122 -3.498 0.000 6.122 3.498 0.000 -4.033 0.000 6.311" Properties=species:S:1:pos:R:3 pbc="T T T"
K 0.000 0.000 0.000
K 3.061 1.749 0.000
K 3.061 -1.749 0.000
Pr 1.045 1.749 3.156
Pr 1.045 -1.749 3.156
Pr 4.106 0.000 3.156
Cr -2.016 0.000 3.156
O 3.253 2.022 4.226
O -0.202 0.000 4.262
O 4.959 2.022 2.085
O 2.075 0.000 1.928
O 6.138 0.000 4.384
O 3.253 -2.022 4.226
O 8.414 0.000 2.049
O 4.959 -2.022 2.085
```

Output
- Calculated volume: 18.02 A^3/atom
- Raw total energy: -6.645 eV/atom